[1]
An optimized crystal structure of YCdO3. Source: the Alexandria database, functional PBE.

Cell and atoms, written as POSCAR:
```
YCdO3
1.0
4.2961 0.0000 0.0000
0.0000 4.2961 0.0000
0.0000 0.0000 4.2961
Y Cd O
1 1 3
Direct
0.0000 0.0000 0.0000
0.5000 0.5000 0.5000
0.0000 0.0000 0.5000
0.0000 0.5000 0.0000
0.5000 0.0000 0.0000
```

Results
size of the total moment: 1.00 μB per cell
symmetry: Pm-3m, No. 221
ΔE_f (raw): -1.43 eV per atom
VASP energy: -5.886 eV/atom



[2]
An optimized crystal structure of YCdO3. Source: the Alexandria database, functional PBE.

Cell and atoms, written as POSCAR:
```
YCdO3
1.0
4.0872 0.0000 0.0000
0.0000 4.0872 0.0000
0.0000 0.0000 4.0872
Y Cd O
1 1 3
Direct
0.0000 0.0000 0.0000
0.5000 0.5000 0.5000
0.0000 0.5000 0.5000
0.5000 0.0000 0.5000
0.5000 0.5000 0.0000
```

Results
size of the total moment: 0.00 μB per cell
symmetry: Pm-3m, No. 221
ΔE_f (raw): -1.33 eV per atom
VASP energy: -5.785 eV/atom



[3]
An optimized crystal structure of Y12Cd3O5. Source: the Alexandria database, functional PBE.

Cell and atoms, written as POSCAR:
```
Y12Cd3O5
1.0
-7.8059 7.8059 7.8059
7.8059 -7.8059 7.8059
7.8059 7.8059 -7.8059
Y Cd O
48 12 20
Direct
0.0085 0.1972 0.1065
0.0085 0.3113 0.9021
0.0907 0.6972 0.6887
0.0907 0.8935 0.4021
0.0979 0.6065 0.4093
0.0979 0.9915 0.6887
0.1065 0.0085 0.1972
0.1065 0.5979 0.9093
0.1887 0.1972 0.5907
0.1887 0.4915 0.5979
0.1972 0.1065 0.0085
0.1972 0.5907 0.1887
0.3028 0.3113 0.9093
0.3028 0.4915 0.3935
0.3113 0.9021 0.0085
0.3113 0.9093 0.3028
0.3935 0.3028 0.4915
0.3935 0.5907 0.9021
0.4021 0.0907 0.8935
0.4021 0.8113 0.5085
0.4093 0.0979 0.6065
0.4093 0.8113 0.8028
0.4915 0.3935 0.3028
0.4915 0.5979 0.1887
0.5085 0.4021 0.8113
0.5085 0.6065 0.6972
0.5907 0.1887 0.1972
0.5907 0.9021 0.3935
0.5979 0.1887 0.4915
0.5979 0.9093 0.1065
0.6065 0.4093 0.0979
0.6065 0.6972 0.5085
0.6887 0.0907 0.6972
0.6887 0.0979 0.9915
0.6972 0.5085 0.6065
0.6972 0.6887 0.0907
0.8028 0.4093 0.8113
0.8028 0.8935 0.9915
0.8113 0.5085 0.4021
0.8113 0.8028 0.4093
0.8935 0.4021 0.0907
0.8935 0.9915 0.8028
0.9021 0.0085 0.3113
0.9021 0.3935 0.5907
0.9093 0.1065 0.5979
0.9093 0.3028 0.3113
0.9915 0.6887 0.0979
0.9915 0.8028 0.8935
0.1250 0.2500 0.3750
0.1250 0.3750 0.7500
0.2500 0.3750 0.1250
0.2500 0.8750 0.6250
0.3750 0.1250 0.2500
0.3750 0.7500 0.1250
0.6250 0.2500 0.8750
0.6250 0.8750 0.7500
0.7500 0.1250 0.3750
0.7500 0.6250 0.8750
0.8750 0.6250 0.2500
0.8750 0.7500 0.6250
0.0000 0.0000 0.0000
0.0000 0.0000 0.5000
0.0000 0.5000 0.0000
0.0000 0.5000 0.5000
0.1250 0.7500 0.8750
0.1250 0.8750 0.2500
0.2500 0.1250 0.8750
0.2500 0.6250 0.3750
0.3750 0.2500 0.6250
0.3750 0.6250 0.7500
0.5000 0.0000 0.0000
0.5000 0.0000 0.5000
0.5000 0.5000 0.0000
0.5000 0.5000 0.5000
0.6250 0.3750 0.2500
0.6250 0.7500 0.3750
0.7500 0.3750 0.6250
0.7500 0.8750 0.1250
0.8750 0.1250 0.7500
0.8750 0.2500 0.1250
```

Results
size of the total moment: 0.03 μB per cell
symmetry: Ia-3d, No. 230
ΔE_f (raw): -1.48 eV per atom
VASP energy: -6.734 eV/atom